Entry 1:
Entry from Alexandria via LeMat-Bulk: crystalline RbMnCoCl6 at its relaxed geometry (GGA-PBE).

Cell lengths 6.348, 6.626, 7.121 Å; angles 89.37, 84.54, 63.88 degrees
Fractional positions:
Rb1 0.000 0.000 0.000
Mn1 0.693 0.615 0.505
Co1 0.390 0.212 0.505
Cl1 0.045 0.366 0.690
Cl2 0.366 0.949 0.322
Cl3 0.456 0.582 0.746
Cl4 0.593 0.368 0.325
Cl5 0.681 0.944 0.664
Cl6 0.960 0.589 0.266

**Final energy**: -0.15428 hartree per atom
**Theoretical density**: 2.557 g cm⁻³
**Magnetic moment**: 7.013 μB per formula unit

---

Entry 2:
Entry from Alexandria via LeMat-Bulk: crystalline MnCoS2Cl at its relaxed geometry (GGA-PBE).

Cell lengths 4.324, 4.324, 4.928 Å; angles 90.00, 90.00, 90.00 degrees
Fractional positions:
Mn1 0.000 0.000 0.000
Co1 0.500 0.500 0.500
S1 0.000 0.500 0.000
S2 0.500 0.000 0.000
Cl1 0.000 0.000 0.500

**Excess energy over the best structure of this formula in the dataset**: 0.000 eV/atom
**Theoretical density**: 3.847 g cm⁻³
**Magnetic moment**: 2.839 μB per formula unit

---

Entry 3:
Entry from Alexandria via LeMat-Bulk: crystalline MnCoSCl2 at its relaxed geometry (GGA-PBE).

Cell lengths 4.557, 4.557, 4.567 Å; angles 90.00, 90.00, 90.00 degrees
Fractional positions:
Mn1 0.000 0.000 0.000
Co1 0.500 0.500 0.500
S1 0.500 0.500 0.000
Cl1 0.000 0.500 0.500
Cl2 0.500 0.000 0.500

**Excess energy over the best structure of this formula in the dataset**: 0.000 eV/atom
**Theoretical density**: 3.797 g cm⁻³
**Magnetic moment**: 4.010 μB per formula unit

---

The highest theoretical density belongs to which entry?
MnCoS2Cl